*a*
Below is a relaxed structure of PrMgHg4, with properties calculated at the PBE level.

Geometry as CIF:
```
data_PrMgHg4
_chemical_formula_sum 'Pr1 Mg1 Hg4'
_cell_length_a 4.5253
_cell_length_b 4.5253
_cell_length_c 8.4459
_cell_angle_alpha 90.00
_cell_angle_beta 90.00
_cell_angle_gamma 90.00
_symmetry_space_group_name_H-M 'P 4/m m m'
_symmetry_Int_Tables_number 123
_symmetry_space_group_name_Hall '-P 4 2'
loop_
_atom_site_label
_atom_site_type_symbol
_atom_site_fract_x
_atom_site_fract_y
_atom_site_fract_z
Pr1 Pr 0.0000 0.0000 0.0000
Mg1 Mg 0.5000 0.5000 0.5000
Hg1 Hg 0.0000 0.5000 0.2762
```

---

*b*
Below is a relaxed structure of PrMgHg4, with properties calculated at the PBE level.

Geometry as CIF:
```
data_PrMgHg4
_chemical_formula_sum 'Pr4 Mg4 Hg16'
_cell_length_a 8.4940
_cell_length_b 8.4940
_cell_length_c 8.4940
_cell_angle_alpha 90.00
_cell_angle_beta 90.00
_cell_angle_gamma 90.00
_symmetry_space_group_name_H-M 'F -4 3 m'
_symmetry_Int_Tables_number 216
_symmetry_space_group_name_Hall 'F -4 2 3'
loop_
_atom_site_label
_atom_site_type_symbol
_atom_site_fract_x
_atom_site_fract_y
_atom_site_fract_z
Pr1 Pr 0.0000 0.0000 0.0000
Mg1 Mg 0.2500 0.2500 0.7500
Hg1 Hg 0.1251 0.1251 0.3749
```

---

*c*
Below is a relaxed structure of PrMgHg4, with properties calculated at the PBE level.

Geometry as CIF:
```
data_PrMgHg4
_chemical_formula_sum 'Pr2 Mg2 Hg8'
_cell_length_a 9.8727
_cell_length_b 4.2673
_cell_length_c 7.4712
_cell_angle_alpha 90.00
_cell_angle_beta 108.01
_cell_angle_gamma 90.00
_symmetry_space_group_name_H-M 'C 1 2/m 1'
_symmetry_Int_Tables_number 12
_symmetry_space_group_name_Hall '-C 2y'
loop_
_atom_site_label
_atom_site_type_symbol
_atom_site_fract_x
_atom_site_fract_y
_atom_site_fract_z
Pr1 Pr 0.0000 0.0000 0.0000
Mg1 Mg 0.0000 0.0000 0.5000
Hg1 Hg 0.1590 0.5000 0.8035
Hg2 Hg 0.1700 0.5000 0.3473
```

---

Stability, highest: *c*

---

*a*
Below is a relaxed structure of Pr2Mg3Hg4, with properties calculated at the PBE level.

Geometry as CIF:
```
data_Pr2Mg3Hg4
_chemical_formula_sum 'Pr8 Mg12 Hg16'
_cell_length_a 6.3198
_cell_length_b 16.6190
_cell_length_c 8.5473
_cell_angle_alpha 90.00
_cell_angle_beta 90.00
_cell_angle_gamma 90.00
_symmetry_space_group_name_H-M 'C m c e'
_symmetry_Int_Tables_number 64
_symmetry_space_group_name_Hall '-C 2ac 2'
loop_
_atom_site_label
_atom_site_type_symbol
_atom_site_fract_x
_atom_site_fract_y
_atom_site_fract_z
Pr1 Pr 0.0000 0.1066 0.0894
Mg1 Mg 0.0000 0.0000 0.5000
Mg2 Mg 0.2500 0.2227 0.7500
Hg1 Hg 0.0000 0.1799 0.4656
Hg2 Hg 0.2500 0.0521 0.7500
```

---

*b*
Below is a relaxed structure of Pr2Mg3Hg4, with properties calculated at the PBE level.

Geometry as CIF:
```
data_Pr2Mg3Hg4
_chemical_formula_sum 'Pr2 Mg3 Hg4'
_cell_length_a 5.0833
_cell_length_b 5.0878
_cell_length_c 10.0851
_cell_angle_alpha 89.73
_cell_angle_beta 89.84
_cell_angle_gamma 60.07
_symmetry_space_group_name_H-M 'P -1'
_symmetry_Int_Tables_number 2
_symmetry_space_group_name_Hall '-P 1'
loop_
_atom_site_label
_atom_site_type_symbol
_atom_site_fract_x
_atom_site_fract_y
_atom_site_fract_z
Pr1 Pr 0.1662 0.1658 0.2135
Mg1 Mg 0.1671 0.1682 0.5723
Mg2 Mg 0.5000 0.5000 0.0000
Hg1 Hg 0.1670 0.1670 0.8995
Hg2 Hg 0.4989 0.4978 0.3509
```

---

Stability, highest: *b*

---

*a*
Below is a relaxed structure of PrSmMgHg, with properties calculated at the PBE level.

Geometry as CIF:
```
data_PrSmMgHg
_chemical_formula_sum 'Pr4 Sm4 Mg4 Hg4'
_cell_length_a 7.6937
_cell_length_b 7.6937
_cell_length_c 7.6937
_cell_angle_alpha 90.00
_cell_angle_beta 90.00
_cell_angle_gamma 90.00
_symmetry_space_group_name_H-M 'F -4 3 m'
_symmetry_Int_Tables_number 216
_symmetry_space_group_name_Hall 'F -4 2 3'
loop_
_atom_site_label
_atom_site_type_symbol
_atom_site_fract_x
_atom_site_fract_y
_atom_site_fract_z
Pr1 Pr 0.0000 0.0000 0.0000
Sm1 Sm 0.0000 0.0000 0.5000
Mg1 Mg 0.2500 0.2500 0.7500
Hg1 Hg 0.2500 0.2500 0.2500
```

---

*b*
Below is a relaxed structure of PrSmMgHg, with properties calculated at the PBE level.

Geometry as CIF:
```
data_PrSmMgHg
_chemical_formula_sum 'Pr1 Sm1 Mg1 Hg1'
_cell_length_a 3.8607
_cell_length_b 3.8607
_cell_length_c 7.6545
_cell_angle_alpha 90.00
_cell_angle_beta 90.00
_cell_angle_gamma 90.00
_symmetry_space_group_name_H-M 'P 4 m m'
_symmetry_Int_Tables_number 99
_symmetry_space_group_name_Hall 'P 4 -2'
loop_
_atom_site_label
_atom_site_type_symbol
_atom_site_fract_x
_atom_site_fract_y
_atom_site_fract_z
Pr1 Pr 0.0000 0.0000 0.0000
Sm1 Sm 0.0000 0.0000 0.4967
Mg1 Mg 0.5000 0.5000 0.7423
Hg1 Hg 0.5000 0.5000 0.2618
```

---

Stability, highest: *b*

---

*a*
Below is a relaxed structure of PrMgSnHg, with properties calculated at the PBE level.

Geometry as CIF:
```
data_PrMgSnHg
_chemical_formula_sum 'Pr1 Mg1 Sn1 Hg1'
_cell_length_a 4.4299
_cell_length_b 4.7073
_cell_length_c 4.9723
_cell_angle_alpha 90.00
_cell_angle_beta 90.00
_cell_angle_gamma 90.00
_symmetry_space_group_name_H-M 'P m m m'
_symmetry_Int_Tables_number 47
_symmetry_space_group_name_Hall '-P 2 2'
loop_
_atom_site_label
_atom_site_type_symbol
_atom_site_fract_x
_atom_site_fract_y
_atom_site_fract_z
Pr1 Pr 0.0000 0.0000 0.0000
Mg1 Mg 0.0000 0.5000 0.5000
Sn1 Sn 0.5000 0.5000 0.0000
Hg1 Hg 0.5000 0.0000 0.5000
```

---

*b*
Below is a relaxed structure of PrMgSnHg, with properties calculated at the PBE level.

Geometry as CIF:
```
data_PrMgSnHg
_chemical_formula_sum 'Pr4 Mg4 Sn4 Hg4'
_cell_length_a 7.4748
_cell_length_b 7.4748
_cell_length_c 7.4748
_cell_angle_alpha 90.00
_cell_angle_beta 90.00
_cell_angle_gamma 90.00
_symmetry_space_group_name_H-M 'F -4 3 m'
_symmetry_Int_Tables_number 216
_symmetry_space_group_name_Hall 'F -4 2 3'
loop_
_atom_site_label
_atom_site_type_symbol
_atom_site_fract_x
_atom_site_fract_y
_atom_site_fract_z
Pr1 Pr 0.0000 0.0000 0.0000
Mg1 Mg 0.0000 0.0000 0.5000
Sn1 Sn 0.2500 0.2500 0.7500
Hg1 Hg 0.2500 0.2500 0.2500
```

---

Stability, highest: *a*

---

*a*
Below is a relaxed structure of SrPrMgHg, with properties calculated at the PBE level.

Geometry as CIF:
```
data_SrPrMgHg
_chemical_formula_sum 'Sr1 Pr1 Mg1 Hg1'
_cell_length_a 3.9853
_cell_length_b 3.9853
_cell_length_c 7.9634
_cell_angle_alpha 90.00
_cell_angle_beta 90.00
_cell_angle_gamma 90.00
_symmetry_space_group_name_H-M 'P 4 m m'
_symmetry_Int_Tables_number 99
_symmetry_space_group_name_Hall 'P 4 -2'
loop_
_atom_site_label
_atom_site_type_symbol
_atom_site_fract_x
_atom_site_fract_y
_atom_site_fract_z
Sr1 Sr 0.0000 0.0000 0.0000
Pr1 Pr 0.0000 0.0000 0.4814
Mg1 Mg 0.5000 0.5000 0.7185
Hg1 Hg 0.5000 0.5000 0.2632
```

---

*b*
Below is a relaxed structure of SrPrMgHg, with properties calculated at the PBE level.

Geometry as CIF:
```
data_SrPrMgHg
_chemical_formula_sum 'Sr4 Pr4 Mg4 Hg4'
_cell_length_a 7.9322
_cell_length_b 7.9322
_cell_length_c 7.9322
_cell_angle_alpha 90.00
_cell_angle_beta 90.00
_cell_angle_gamma 90.00
_symmetry_space_group_name_H-M 'F -4 3 m'
_symmetry_Int_Tables_number 216
_symmetry_space_group_name_Hall 'F -4 2 3'
loop_
_atom_site_label
_atom_site_type_symbol
_atom_site_fract_x
_atom_site_fract_y
_atom_site_fract_z
Sr1 Sr 0.0000 0.0000 0.0000
Pr1 Pr 0.0000 0.0000 0.5000
Mg1 Mg 0.2500 0.2500 0.7500
Hg1 Hg 0.2500 0.2500 0.2500
```

---

Stability, highest: *a*

---

*a*
Below is a relaxed structure of TbPrMgHg, with properties calculated at the PBE level.

Geometry as CIF:
```
data_TbPrMgHg
_chemical_formula_sum 'Tb1 Pr1 Mg1 Hg1'
_cell_length_a 3.8176
_cell_length_b 3.8176
_cell_length_c 7.6606
_cell_angle_alpha 90.00
_cell_angle_beta 90.00
_cell_angle_gamma 90.00
_symmetry_space_group_name_H-M 'P 4 m m'
_symmetry_Int_Tables_number 99
_symmetry_space_group_name_Hall 'P 4 -2'
loop_
_atom_site_label
_atom_site_type_symbol
_atom_site_fract_x
_atom_site_fract_y
_atom_site_fract_z
Tb1 Tb 0.0000 0.0000 0.0000
Pr1 Pr 0.0000 0.0000 0.5051
Mg1 Mg 0.5000 0.5000 0.2417
Hg1 Hg 0.5000 0.5000 0.7761
```

---

*b*
Below is a relaxed structure of TbPrMgHg, with properties calculated at the PBE level.

Geometry as CIF:
```
data_TbPrMgHg
_chemical_formula_sum 'Tb4 Pr4 Mg4 Hg4'
_cell_length_a 7.6433
_cell_length_b 7.6433
_cell_length_c 7.6433
_cell_angle_alpha 90.00
_cell_angle_beta 90.00
_cell_angle_gamma 90.00
_symmetry_space_group_name_H-M 'F -4 3 m'
_symmetry_Int_Tables_number 216
_symmetry_space_group_name_Hall 'F -4 2 3'
loop_
_atom_site_label
_atom_site_type_symbol
_atom_site_fract_x
_atom_site_fract_y
_atom_site_fract_z
Tb1 Tb 0.0000 0.0000 0.0000
Pr1 Pr 0.0000 0.0000 0.5000
Mg1 Mg 0.2500 0.2500 0.7500
Hg1 Hg 0.2500 0.2500 0.2500
```

---

Stability, highest: *a*